# 1
Entry from the Alexandria database: crystalline Sr3ZrMn at its relaxed geometry (PBE-GGA).

a b c (Å): 5.891 5.891 5.891
angles (deg): 90.00 90.00 90.00
Each line ends with the local moment (μB).
Fractional positions:
Sr  0.000  0.000  0.500  -0.08
Sr  0.500  0.000  0.000  -0.03
Sr  0.000  0.500  0.000  -0.04
Zr  0.500  0.500  0.500  -1.34
Mn  0.000  0.000  0.000  3.42

Properties
V (A^3/atom): 40.90
Magnetization (μB/cell): 0.442
Space group: Pm-3m, No. 221
ΔE_f (meV per atom): 952
Calculated total energy (eV/atom): -3.601


# 2
Entry from the Alexandria database: crystalline Tl3Cu2AgCl6 at its relaxed geometry (PBE-GGA).

a b c (Å): 7.546 7.546 8.219
angles (deg): 90.00 90.00 120.00
Fractional positions:
Tl  0.667  0.333  0.359
Tl  0.333  0.667  0.641
Tl  0.000  0.000  0.000
Cl  0.673  0.836  0.290
Cl  0.836  0.164  0.710
Cl  0.836  0.673  0.710
Cl  0.164  0.836  0.290
Cl  0.164  0.327  0.290
Cl  0.327  0.164  0.710
Cu  0.333  0.667  0.295
Cu  0.667  0.333  0.705
Ag  0.000  0.000  0.500

Properties
ΔE_f (raw) (eV/f.u.): -8.03
V (A^3/atom): 33.77
Magnetization (μB/cell): 0.000
Space group: P-3m1, No. 164
Calculated total energy (eV/atom): -3.104


# 3
Entry from the Alexandria database: crystalline TlTc3 at its relaxed geometry (PBE-GGA).

a b c (Å): 9.278 9.278 9.278
angles (deg): 17.95 17.95 17.95
Fractional positions:
Tl  0.000  0.000  0.000
Tc  0.243  0.243  0.243
Tc  0.500  0.500  0.500
Tc  0.757  0.757  0.757

Properties
V (A^3/atom): 16.56
Magnetization (μB/cell): 0.000
Space group: R-3m, No. 166
ΔE_f (meV per atom): 487
Calculated total energy (eV/atom): -7.880


# 4
Entry from the Alexandria database: crystalline TbPaZnSn at its relaxed geometry (PBE-GGA).

a b c (Å): 5.207 5.207 5.207
angles (deg): 60.00 60.00 60.00
Each line ends with the local moment (μB).
Fractional positions:
Pa  0.500  0.500  0.500  1.02
Tb  0.000  0.000  0.000  0.20
Zn  0.750  0.750  0.750  0.02
Sn  0.250  0.250  0.250  0.01

Properties
V (A^3/atom): 24.95
Magnetization (μB/cell): 1.560
Space group: F-43m, No. 216
ΔE_f (meV per atom): -152
Calculated total energy (eV/atom): -5.003


# 5
Entry from the Alexandria database: crystalline CaMnTc3 at its relaxed geometry (PBE-GGA).

a b c (Å): 4.482 4.482 4.482
angles (deg): 90.00 90.00 90.00
Each line ends with the local moment (μB).
Fractional positions:
Mn  0.500  0.500  0.500  -0.13
Ca  0.000  0.000  0.000  0.00
Tc  0.000  0.000  0.500  -0.03
Tc  0.500  0.000  0.000  -0.01
Tc  0.000  0.500  0.000  0.01

Properties
V (A^3/atom): 18.01
Magnetization (μB/cell): 0.143
Space group: Pm-3m, No. 221
ΔE_f (meV per atom): 2895
Calculated total energy (eV/atom): -5.559


# 6
Entry from the Alexandria database: crystalline K3Tl4Bi2Sb2 at its relaxed geometry (PBE-GGA).

a b c (Å): 5.416 5.416 15.590
angles (deg): 90.00 90.00 120.00
Fractional positions:
K  0.000  0.000  0.000
K  0.000  0.000  0.258
K  0.000  0.000  0.742
Tl  0.667  0.333  0.631
Tl  0.333  0.667  0.369
Tl  0.667  0.333  0.083
Tl  0.333  0.667  0.917
Sb  0.667  0.333  0.870
Sb  0.333  0.667  0.130
Bi  0.667  0.333  0.424
Bi  0.333  0.667  0.576

Properties
ΔE_f (raw) (eV/f.u.): -1.71
V (A^3/atom): 36.00
Magnetization (μB/cell): 0.000
Space group: P-3m1, No. 164
Calculated total energy (eV/atom): -2.770


# 7
Entry from the Alexandria database: crystalline RbBa2Au2 at its relaxed geometry (PBE-GGA).

a b c (Å): 5.717 5.717 7.540
angles (deg): 67.72 67.72 90.00
Fractional positions:
Au  0.389  0.389  0.222
Au  0.611  0.611  0.778
Rb  0.000  0.000  0.000
Ba  0.250  0.750  0.500
Ba  0.750  0.250  0.500

Properties
V (A^3/atom): 41.61
Magnetization (μB/cell): 0.000
Space group: I4/mmm, No. 139
ΔE_f (meV per atom): -394
Calculated total energy (eV/atom): -2.668


# 8
Entry from the Alexandria database: crystalline Ca3Np3SiN8 at its relaxed geometry (PBE-GGA).

a b c (Å): 6.632 6.652 6.873
angles (deg): 118.92 89.79 120.07
Each line ends with the local moment (μB).
Fractional positions:
Si  0.000  0.000  0.500  0.02
Ca  0.500  0.500  0.000  0.01
Ca  0.000  0.500  0.000  0.01
Ca  0.000  0.000  0.000  0.01
N  0.767  0.977  0.687  -0.12
N  0.743  0.486  0.730  -0.11
N  0.216  0.432  0.690  -0.12
N  0.785  0.026  0.311  -0.12
N  0.257  0.514  0.270  -0.11
N  0.784  0.568  0.310  -0.12
N  0.233  0.023  0.313  -0.12
N  0.215  0.974  0.689  -0.12
Np  0.000  0.500  0.500  2.54
Np  0.500  0.500  0.500  2.57
Np  0.500  0.000  0.500  2.58

Properties
ΔE_f (raw) (eV/f.u.): -13.37
V (A^3/atom): 14.53
Magnetization (μB/cell): 7.001
Space group: P-1, No. 2
Calculated total energy (eV/atom): -8.682